Entry 1:
# TbYTm PBE-GGA optimized geometry
# E above lowest polymorph   1 meV/atom
# Calculated density   7.3 g cm⁻³
# Raw total energy   -5.16 eV per atom
# DOS(E_F)   8.40 states/eV per cell
data_TbYTm
_chemical_formula_sum 'Tb2 Y2 Tm2'
_space_group_name_H-M_alt 'I 4 m m'
_space_group_IT_number 107
_space_group_name_Hall 'I 4 -2'
_cell_length_a 3.537
_cell_length_b 3.537
_cell_length_c 15.064
_cell_angle_alpha 90.00
_cell_angle_beta 90.00
_cell_angle_gamma 90.00
loop_
_atom_site_label
_atom_site_type_symbol
_atom_site_fract_x
_atom_site_fract_y
_atom_site_fract_z
Tb1 Tb 0.000 0.000 0.000
Y1 Y 0.000 0.000 0.669
Tm1 Tm 0.000 0.000 0.335

---

Entry 2:
# TbY6Tm4 PBE-GGA optimized geometry
# E above lowest polymorph   143 meV/atom
# Calculated density   6.3 g cm⁻³
# Raw total energy   -5.27 eV per atom
# DOS(E_F)   31.44 states/eV per cell
data_TbY6Tm4
_chemical_formula_sum 'Tb2 Y12 Tm8'
_space_group_name_H-M_alt 'I -4 2 m'
_space_group_IT_number 121
_space_group_name_Hall 'I -4 2'
_cell_length_a 6.514
_cell_length_b 6.514
_cell_length_c 17.124
_cell_angle_alpha 90.00
_cell_angle_beta 90.00
_cell_angle_gamma 90.00
loop_
_atom_site_label
_atom_site_type_symbol
_atom_site_fract_x
_atom_site_fract_y
_atom_site_fract_z
Tb1 Tb 0.000 0.000 0.000
Y1 Y 0.000 0.500 0.000
Y2 Y 0.187 0.187 0.826
Tm1 Tm 0.180 0.180 0.631

---

Entry 3:
# Tb7YTm4 PBE-GGA optimized geometry
# E above lowest polymorph   0 meV/atom
# Calculated density   8.3 g cm⁻³
# Raw total energy   -4.73 eV per atom
# DOS(E_F)   15.55 states/eV per cell
data_Tb7YTm4
_chemical_formula_sum 'Tb7 Y1 Tm4'
_space_group_name_H-M_alt 'P -1'
_space_group_IT_number 2
_space_group_name_Hall '-P 1'
_cell_length_a 6.182
_cell_length_b 7.134
_cell_length_c 8.780
_cell_angle_alpha 90.00
_cell_angle_beta 76.45
_cell_angle_gamma 89.97
loop_
_atom_site_label
_atom_site_type_symbol
_atom_site_fract_x
_atom_site_fract_y
_atom_site_fract_z
Tb1 Tb 0.000 0.000 0.000
Tb2 Tb 0.223 0.500 0.335
Tb3 Tb 0.279 0.751 0.664
Tb4 Tb 0.499 0.248 0.000
Y1 Y 0.000 0.500 0.000
Tm1 Tm 0.220 0.000 0.335
Tm2 Tm 0.278 0.248 0.665